GdLuCdCo | Alexandria via LeMat-Bulk | GGA-PBE | optimized geometry; SG = F-43m (216); final energy = -27.2 eV per cell
1.0
-3.092 3.883 -0.656
-4.402 0.125 2.383
-0.741 3.267 3.721
Gd Co Lu Cd
1 1 1 1
direct
0.500 0.500 0.500
0.250 0.250 0.250
0.000 0.000 0.000
0.750 0.750 0.750

=====

KRb2La | Alexandria via LeMat-Bulk | GGA-PBE | optimized geometry; SG = R-3m (166); final energy = -6.5 eV per cell
1.0
4.103 0.000 0.000
2.052 3.554 0.000
2.052 1.185 16.413
Rb K La
2 1 1
direct
0.920 0.920 0.240
0.080 0.080 0.760
0.500 0.500 0.500
0.000 0.000 0.000

=====

Tb2Tl2Cd | Alexandria via LeMat-Bulk | GGA-PBE | optimized geometry; SG = Ibam (72); final energy = -31.0 eV per cell; energy above the most stable polymorph in this dataset = 165 meV per atom
1.0
6.426 0.000 0.000
0.000 7.209 0.000
-3.213 -3.604 6.399
Tb Tl Cd
4 4 2
direct
0.867 0.063 0.734
0.133 0.937 0.266
0.367 0.670 0.734
0.633 0.330 0.266
0.125 0.360 0.250
0.875 0.640 0.750
0.625 0.890 0.250
0.375 0.110 0.750
0.250 0.500 0.000
0.750 0.500 0.000

=====

Cs2LiGaN | Alexandria via LeMat-Bulk | GGA-PBE | optimized geometry; SG = P4/mmm (123); final energy = -12.6 eV per cell; formation energy from raw total energies = 0.477 eV/atom
1.0
6.453 0.000 0.000
0.000 3.898 0.000
0.000 0.000 6.453
Ga Cs Li N
1 2 1 1
direct
0.500 0.500 0.500
0.000 0.000 0.500
0.500 0.000 0.000
0.000 0.500 0.000
0.000 0.000 0.000